Density functional theory data (GGA+U) for a relaxed structure of CaMnPO2.

Summary:
Symmetry: No. 123
V in Å³/f.u.: 74.6
ΔE to the lowest computed polymorph in eV per formula unit: 0.00

Lattice parameters (Å, degrees): 3.9629 3.9629 4.7519 90.00 90.00 90.00
With the nearest neighbours (Å) after each atom.
Atoms (fractional coordinates):
Ca: 0.0000 0.0000 0.0000  4 P 2.80, 8 O 3.09
Mn: 0.5000 0.5000 0.5000  4 O 1.98
P: 0.5000 0.5000 0.0000  2 Mn 2.38
O: 0.0000 0.5000 0.5000  2 Mn 1.98
O: 0.5000 0.0000 0.5000  2 Mn 1.98